*w*
The following is a DFT calculation (PBE) of an optimized crystal structure of PmAsP.

Cell lengths 4.3866, 4.3866, 3.8974 Å; angles 90.00, 90.00, 120.00 degrees
Element x y z (fractional)
Pm1 0.0000 0.0000 0.0000
As1 0.6667 0.3333 0.5000
P1 0.3333 0.6667 0.5000

*x*
The following is a DFT calculation (PBE) of an optimized crystal structure of PmAsP.

Cell lengths 5.4626, 5.4626, 5.4626 Å; angles 137.62, 137.62, 61.49 degrees
Element x y z (fractional)
Pm1 0.0000 0.0000 0.0000
As1 0.6566 0.6566 0.0000
P1 0.4091 0.4091 0.0000

Stability summary: most stable *x*, least stable *w*.

*w*
The following is a DFT calculation (PBE) of an optimized crystal structure of AsPPt2.

Cell lengths 3.0840, 3.0840, 6.7037 Å; angles 90.00, 90.00, 90.00 degrees
Element x y z (fractional)
As1 0.0000 0.0000 0.0000
P1 0.0000 0.0000 0.5000
Pt1 0.5000 0.5000 0.2812
Pt2 0.5000 0.5000 0.7188

*x*
The following is a DFT calculation (PBE) of an optimized crystal structure of AsPPt2.

Cell lengths 3.1140, 3.1140, 7.6249 Å; angles 90.00, 90.00, 90.00 degrees
Element x y z (fractional)
As1 0.0000 0.0000 0.0000
P1 0.5000 0.5000 0.4098
Pt1 0.0000 0.0000 0.5520
Pt2 0.5000 0.5000 0.8253

*y*
The following is a DFT calculation (PBE) of an optimized crystal structure of AsPPt2.

Cell lengths 3.6031, 3.6031, 6.3644 Å; angles 106.39, 106.39, 59.67 degrees
Element x y z (fractional)
As1 0.0000 0.0000 0.0000
P1 0.5000 0.5000 0.5000
Pt1 0.2390 0.2390 0.7184
Pt2 0.7610 0.7610 0.2816

Stability summary: most stable *y*, least stable *w*.

*w*
The following is a DFT calculation (PBE) of an optimized crystal structure of AsPPt2.

Cell lengths 2.8464, 3.4847, 6.6853 Å; angles 90.00, 90.00, 90.00 degrees
Element x y z (fractional)
As1 0.0000 0.0000 0.0000
P1 0.5000 0.0000 0.5000
Pt1 0.5000 0.5000 0.2516
Pt2 0.5000 0.5000 0.7484

*x*
The following is a DFT calculation (PBE) of an optimized crystal structure of AsPPt2.

Cell lengths 5.3399, 5.3399, 5.3399 Å; angles 148.92, 124.52, 64.97 degrees
Element x y z (fractional)
As1 0.0000 0.0000 0.0000
P1 0.5000 0.5000 0.0000
Pt1 0.2647 0.7647 0.5000
Pt2 0.7353 0.2353 0.5000

*y*
The following is a DFT calculation (PBE) of an optimized crystal structure of AsPPt2.

Cell lengths 4.4152, 4.4152, 3.2504 Å; angles 90.00, 90.00, 90.00 degrees
Element x y z (fractional)
As1 0.0000 0.0000 0.0000
P1 0.5000 0.5000 0.0000
Pt1 0.0000 0.5000 0.5000
Pt2 0.5000 0.0000 0.5000

*z*
The following is a DFT calculation (PBE) of an optimized crystal structure of AsPPt2.

Cell lengths 4.5084, 4.5084, 4.5084 Å; angles 60.00, 60.00, 60.00 degrees
Element x y z (fractional)
As1 0.0000 0.0000 0.0000
P1 0.7500 0.7500 0.7500
Pt1 0.2500 0.2500 0.2500
Pt2 0.5000 0.5000 0.5000

Stability summary: most stable *w*, least stable *z*.

*w*
The following is a DFT calculation (PBE) of an optimized crystal structure of As3PPt.

Cell lengths 4.8869, 4.8869, 4.8869 Å; angles 90.00, 90.00, 90.00 degrees
Element x y z (fractional)
As1 0.0000 0.0000 0.5000
As2 0.0000 0.5000 0.0000
As3 0.5000 0.0000 0.0000
P1 0.5000 0.5000 0.5000
Pt1 0.0000 0.0000 0.0000

*x*
The following is a DFT calculation (PBE) of an optimized crystal structure of As3PPt.

Cell lengths 4.6353, 4.6353, 4.6353 Å; angles 90.00, 90.00, 90.00 degrees
Element x y z (fractional)
As1 0.0000 0.0000 0.5000
As2 0.0000 0.5000 0.0000
As3 0.5000 0.0000 0.0000
P1 0.0000 0.0000 0.0000
Pt1 0.5000 0.5000 0.5000

Stability summary: most stable *x*, least stable *w*.

*w*
The following is a DFT calculation (PBE) of an optimized crystal structure of AsPPt.

Cell lengths 6.0599, 5.9143, 6.0519 Å; angles 90.00, 101.55, 90.00 degrees
Element x y z (fractional)
As1 0.1528 0.1177 0.3468
As2 0.1528 0.3823 0.8468
As3 0.8472 0.6177 0.1532
As4 0.8472 0.8823 0.6532
P1 0.3541 0.6176 0.6463
P2 0.3541 0.8824 0.1463
P3 0.6459 0.1176 0.8537
P4 0.6459 0.3824 0.3537
Pt1 0.2619 0.5102 0.2542
Pt2 0.2619 0.9898 0.7542
Pt3 0.7381 0.0102 0.2458
Pt4 0.7381 0.4898 0.7458

*x*
The following is a DFT calculation (PBE) of an optimized crystal structure of AsPPt.

Cell lengths 6.2049, 6.2049, 6.2049 Å; angles 151.99, 151.99, 40.04 degrees
Element x y z (fractional)
As1 0.0000 0.0000 0.0000
P1 0.7177 0.7177 0.0000
Pt1 0.3332 0.3332 0.0000

Stability summary: most stable *w*, least stable *x*.

*w*
The following is a DFT calculation (PBE) of an optimized crystal structure of AsPPt.

Cell lengths 3.5320, 3.5320, 4.7579 Å; angles 90.00, 90.00, 120.00 degrees
Element x y z (fractional)
As1 0.0000 0.0000 0.0000
P1 0.6667 0.3333 0.3883
Pt1 0.3333 0.6667 0.6640

*x*
The following is a DFT calculation (PBE) of an optimized crystal structure of AsPPt.

Cell lengths 5.9046, 5.9046, 5.9046 Å; angles 90.00, 90.00, 90.00 degrees
Element x y z (fractional)
As1 0.1144 0.1144 0.1144
As2 0.3856 0.8856 0.6144
As3 0.6144 0.3856 0.8856
As4 0.8856 0.6144 0.3856
P1 0.1132 0.3868 0.6132
P2 0.3868 0.6132 0.1132
P3 0.6132 0.1132 0.3868
P4 0.8868 0.8868 0.8868
Pt1 0.0099 0.5099 0.9901
Pt2 0.4901 0.4901 0.4901
Pt3 0.5099 0.9901 0.0099
Pt4 0.9901 0.0099 0.5099

Stability summary: most stable *x*, least stable *w*.